First-principles (PBE) data for KLiCdPb after structural relaxation, as listed in the Alexandria database.

## Properties
For the density of states at the Fermi level, the calculation gives 1.24 states/eV/f.u.

Cell lengths 7.601, 7.601, 7.601 Å; angles 90.00, 90.00, 90.00 degrees
Space group F-43m (No. 216)
One atom of each set of equivalent atoms:
K1 0.000 0.000 0.000 (multiplicity 4)
Li1 0.250 0.250 0.750 (multiplicity 4)
Cd1 0.250 0.250 0.250 (multiplicity 4)
Pb1 0.000 0.000 0.500 (multiplicity 4)

---

First-principles (PBE) data for KLiCd2Pb after structural relaxation, as listed in the Alexandria database.

## Properties
For the density of states at the Fermi level, the calculation gives 1.17 states/eV/f.u.

Cell lengths 5.297, 5.297, 5.198 Å; angles 90.00, 90.00, 90.00 degrees
Space group P4/mmm (No. 123)
One atom of each set of equivalent atoms:
K1 0.000 0.000 0.000 (multiplicity 1)
Li1 0.500 0.500 0.500 (multiplicity 1)
Cd1 0.000 0.500 0.500 (multiplicity 2)
Pb1 0.500 0.500 0.000 (multiplicity 1)

---

First-principles (PBE) data for KLiCd6Pd after structural relaxation, as listed in the Alexandria database.

## Properties
For the density of states at the Fermi level, the calculation gives 3.72 states/eV/f.u.

Cell lengths 7.378, 9.994, 12.429 Å; angles 90.00, 90.00, 90.00 degrees
Space group Imma (No. 74)
One atom of each set of equivalent atoms:
K1 0.000 0.250 0.198 (multiplicity 4)
Li1 0.250 0.250 0.750 (multiplicity 4)
Cd1 0.000 0.250 0.498 (multiplicity 4)
Cd2 0.000 0.250 0.923 (multiplicity 4)
Cd3 0.197 0.013 0.628 (multiplicity 16)
Pd1 0.000 0.000 0.000 (multiplicity 4)

---

First-principles (PBE) data for KLi2CdPt after structural relaxation, as listed in the Alexandria database.

## Properties
For the density of states at the Fermi level, the calculation gives 2.28 states/eV/f.u.

Cell lengths 4.969, 4.969, 5.335 Å; angles 90.00, 90.00, 90.00 degrees
Space group P4/mmm (No. 123)
One atom of each set of equivalent atoms:
K1 0.000 0.000 0.000 (multiplicity 1)
Li1 0.000 0.500 0.500 (multiplicity 2)
Cd1 0.500 0.500 0.000 (multiplicity 1)
Pt1 0.500 0.500 0.500 (multiplicity 1)

---

First-principles (PBE) data for KRb2LiCd after structural relaxation, as listed in the Alexandria database.

## Properties
For the density of states at the Fermi level, the calculation gives 3.52 states/eV/f.u.

Cell lengths 7.261, 7.261, 5.618 Å; angles 90.00, 90.00, 90.00 degrees
Space group P4/mmm (No. 123)
One atom of each set of equivalent atoms:
K1 0.000 0.000 0.000 (multiplicity 1)
Rb1 0.000 0.500 0.500 (multiplicity 2)
Li1 0.500 0.500 0.000 (multiplicity 1)
Cd1 0.500 0.500 0.500 (multiplicity 1)

---

First-principles (PBE) data for KLiCdRh2 after structural relaxation, as listed in the Alexandria database.

## Properties
For the density of states at the Fermi level, the calculation gives 5.19 states/eV/f.u.

Cell lengths 4.524, 4.524, 4.796 Å; angles 90.00, 90.00, 90.00 degrees
Space group P4/mmm (No. 123)
One atom of each set of equivalent atoms:
K1 0.000 0.000 0.000 (multiplicity 1)
Li1 0.500 0.500 0.500 (multiplicity 1)
Cd1 0.500 0.500 0.000 (multiplicity 1)
Rh1 0.000 0.500 0.500 (multiplicity 2)

---

First-principles (PBE) data for KLi2CdRh after structural relaxation, as listed in the Alexandria database.

## Properties
For the density of states at the Fermi level, the calculation gives 1.74 states/eV/f.u.

Cell lengths 4.940, 4.940, 5.254 Å; angles 90.00, 90.00, 90.00 degrees
Space group P4/mmm (No. 123)
One atom of each set of equivalent atoms:
K1 0.000 0.000 0.000 (multiplicity 1)
Li1 0.000 0.500 0.500 (multiplicity 2)
Cd1 0.500 0.500 0.000 (multiplicity 1)
Rh1 0.500 0.500 0.500 (multiplicity 1)

---

First-principles (PBE) data for K2Li3CdSb4 after structural relaxation, as listed in the Alexandria database.

## Properties
As for the formation energy from raw total energies: -4.35 eV/f.u. For the density of states at the Fermi level, the calculation gives 5.65 states/eV/f.u.

Cell lengths 4.624, 4.624, 12.722 Å; angles 90.00, 90.00, 90.00 degrees
Space group P-4m2 (No. 115)
One atom of each set of equivalent atoms:
K1 0.000 0.500 0.247 (multiplicity 2)
Li1 0.000 0.500 0.859 (multiplicity 2)
Li2 0.500 0.500 0.500 (multiplicity 1)
Cd1 0.000 0.000 0.500 (multiplicity 1)
Sb1 0.000 0.000 0.000 (multiplicity 1)
Sb2 0.000 0.500 0.639 (multiplicity 2)
Sb3 0.500 0.500 0.000 (multiplicity 1)

---

First-principles (PBE) data for K2LiCdSb2 after structural relaxation, as listed in the Alexandria database.

## Properties
As for the formation energy from raw total energies: -2.61 eV/f.u. For the density of states at the Fermi level, the calculation gives 3.67 states/eV/f.u.

Cell lengths 6.747, 16.629, 6.827 Å; angles 90.00, 90.00, 90.00 degrees
Space group Ibam (No. 72)
One atom of each set of equivalent atoms:
K1 0.247 0.172 0.000 (multiplicity 8)
Li1 0.000 0.500 0.250 (multiplicity 4)
Cd1 0.000 0.000 0.250 (multiplicity 4)
Sb1 0.245 0.398 0.000 (multiplicity 8)

---

First-principles (PBE) data for KLiCdSe2 after structural relaxation, as listed in the Alexandria database.

## Properties
As for the formation energy from raw total energies: -5.07 eV/f.u. For the density of states at the Fermi level, the calculation gives 0.00 states/eV/f.u.

Cell lengths 13.886, 4.413, 9.494 Å; angles 90.00, 98.74, 90.00 degrees
Space group C2/m (No. 12)
One atom of each set of equivalent atoms:
K1 0.162 0.000 0.167 (multiplicity 4)
Li1 0.179 0.000 0.560 (multiplicity 4)
Cd1 0.057 0.500 0.684 (multiplicity 4)
Se1 0.131 0.000 0.818 (multiplicity 4)
Se2 0.132 0.500 0.425 (multiplicity 4)

---

First-principles (PBE) data for KLi2CdSn after structural relaxation, as listed in the Alexandria database.

## Properties
For the density of states at the Fermi level, the calculation gives 1.95 states/eV/f.u.

Cell lengths 5.389, 5.389, 5.610 Å; angles 90.00, 90.00, 90.00 degrees
Space group P4/mmm (No. 123)
One atom of each set of equivalent atoms:
K1 0.000 0.000 0.000 (multiplicity 1)
Li1 0.000 0.500 0.500 (multiplicity 2)
Cd1 0.500 0.500 0.000 (multiplicity 1)
Sn1 0.500 0.500 0.500 (multiplicity 1)

---

First-principles (PBE) data for K2LiCd3Sn4 after structural relaxation, as listed in the Alexandria database.

## Properties
For the density of states at the Fermi level, the calculation gives 4.60 states/eV/f.u.

Cell lengths 4.732, 4.732, 13.025 Å; angles 90.00, 90.00, 90.00 degrees
Space group P-4m2 (No. 115)
One atom of each set of equivalent atoms:
K1 0.000 0.500 0.244 (multiplicity 2)
Li1 0.500 0.500 0.000 (multiplicity 1)
Cd1 0.000 0.000 0.000 (multiplicity 1)
Cd2 0.000 0.500 0.650 (multiplicity 2)
Sn1 0.000 0.000 0.500 (multiplicity 1)
Sn2 0.000 0.500 0.869 (multiplicity 2)
Sn3 0.500 0.500 0.500 (multiplicity 1)

---

First-principles (PBE) data for KSrLiCd after structural relaxation, as listed in the Alexandria database.

## Properties
For the density of states at the Fermi level, the calculation gives 3.36 states/eV/f.u.

Cell lengths 8.443, 8.443, 8.443 Å; angles 90.00, 90.00, 90.00 degrees
Space group F-43m (No. 216)
One atom of each set of equivalent atoms:
K1 0.000 0.000 0.000 (multiplicity 4)
Sr1 0.000 0.000 0.500 (multiplicity 4)
Li1 0.250 0.250 0.750 (multiplicity 4)
Cd1 0.250 0.250 0.250 (multiplicity 4)

---

First-principles (PBE) data for KLiCdTe2 after structural relaxation, as listed in the Alexandria database.

## Properties
As for the formation energy from raw total energies: -4.22 eV/f.u.

Cell lengths 14.944, 4.669, 11.426 Å; angles 90.00, 123.84, 90.00 degrees
Space group C2/m (No. 12)
One atom of each set of equivalent atoms:
K1 0.183 0.000 0.138 (multiplicity 4)
Li1 0.143 0.500 0.428 (multiplicity 4)
Cd1 0.039 0.000 0.690 (multiplicity 4)
Te1 0.052 0.500 0.844 (multiplicity 4)
Te2 0.173 0.000 0.581 (multiplicity 4)

---

First-principles (PBE) data for KLiTl2Cd after structural relaxation, as listed in the Alexandria database.

## Properties
For the density of states at the Fermi level, the calculation gives 1.64 states/eV/f.u.

Cell lengths 5.325, 5.325, 5.309 Å; angles 90.00, 90.00, 90.00 degrees
Space group P4/mmm (No. 123)
One atom of each set of equivalent atoms:
K1 0.000 0.000 0.000 (multiplicity 1)
Li1 0.500 0.500 0.500 (multiplicity 1)
Tl1 0.000 0.500 0.500 (multiplicity 2)
Cd1 0.500 0.500 0.000 (multiplicity 1)

---

First-principles (PBE) data for KLiTlCd2 after structural relaxation, as listed in the Alexandria database.

## Properties
For the density of states at the Fermi level, the calculation gives 2.90 states/eV/f.u.

Cell lengths 5.280, 5.280, 5.288 Å; angles 90.00, 90.00, 90.00 degrees
Space group P4/mmm (No. 123)
One atom of each set of equivalent atoms:
K1 0.000 0.000 0.000 (multiplicity 1)
Li1 0.500 0.500 0.500 (multiplicity 1)
Tl1 0.500 0.500 0.000 (multiplicity 1)
Cd1 0.000 0.500 0.500 (multiplicity 2)

---

First-principles (PBE) data for KLiTlCd after structural relaxation, as listed in the Alexandria database.

## Properties
For the density of states at the Fermi level, the calculation gives 1.68 states/eV/f.u.

Cell lengths 7.650, 7.650, 7.650 Å; angles 90.00, 90.00, 90.00 degrees
Space group F-43m (No. 216)
One atom of each set of equivalent atoms:
K1 0.000 0.000 0.000 (multiplicity 4)
Li1 0.250 0.250 0.750 (multiplicity 4)
Tl1 0.000 0.000 0.500 (multiplicity 4)
Cd1 0.250 0.250 0.250 (multiplicity 4)

---

First-principles (PBE) data for K2LiCdW after structural relaxation, as listed in the Alexandria database.

## Properties
For the density of states at the Fermi level, the calculation gives 3.98 states/eV/f.u.

Cell lengths 6.425, 6.425, 5.467 Å; angles 90.00, 90.00, 90.00 degrees
Space group P4/mmm (No. 123)
One atom of each set of equivalent atoms:
K1 0.000 0.500 0.000 (multiplicity 2)
Li1 0.000 0.000 0.500 (multiplicity 1)
Cd1 0.500 0.500 0.000 (multiplicity 1)
W1 0.500 0.500 0.500 (multiplicity 1)

---

First-principles (PBE) data for K2LiYCd after structural relaxation, as listed in the Alexandria database.

## Properties
For the density of states at the Fermi level, the calculation gives 4.99 states/eV/f.u.

Cell lengths 5.826, 5.826, 6.166 Å; angles 90.00, 90.00, 90.00 degrees
Space group P4/mmm (No. 123)
One atom of each set of equivalent atoms:
K1 0.000 0.500 0.000 (multiplicity 2)
Li1 0.000 0.000 0.000 (multiplicity 1)
Y1 0.000 0.000 0.500 (multiplicity 1)
Cd1 0.500 0.500 0.500 (multiplicity 1)

---

First-principles (PBE) data for K2LiZn3Cd12 after structural relaxation, as listed in the Alexandria database.

## Properties
For the density of states at the Fermi level, the calculation gives 5.88 states/eV/f.u.

Cell lengths 9.8996, 9.8996, 19.1300 Å; angles 90.00, 90.00, 120.00 degrees
Space group R-3m (No. 166, hexagonal axes)
One atom of each set of equivalent atoms:
K1 0.0000 0.0000 0.1070 (multiplicity 6)
Li1 0.0000 0.0000 0.5000 (multiplicity 3)
Zn1 0.0000 0.5000 0.0000 (multiplicity 9)
Cd1 0.0102 0.5051 0.1385 (multiplicity 18)
Cd2 0.0385 0.5192 0.3114 (multiplicity 18)

---

First-principles (PBE) data for KLuCd4 after structural relaxation, as listed in the Alexandria database.

## Properties
For the density of states at the Fermi level, the calculation gives 3.74 states/eV/f.u.

Cell lengths 8.555, 8.555, 8.555 Å; angles 90.00, 90.00, 90.00 degrees
Space group F-43m (No. 216)
One atom of each set of equivalent atoms:
K1 0.000 0.000 0.000 (multiplicity 4)
Lu1 0.250 0.250 0.750 (multiplicity 4)
Cd1 0.125 0.125 0.375 (multiplicity 16)

---

First-principles (PBE) data for K2Mg12Cd7 after structural relaxation, as listed in the Alexandria database.

## Properties
For the density of states at the Fermi level, the calculation gives 8.11 states/eV/f.u.

Cell lengths 11.3942, 11.3942, 4.7867 Å; angles 90.00, 90.00, 120.00 degrees
Space group P-6 (No. 174)
One atom of each set of equivalent atoms:
K1 0.0000 0.0000 0.0000 (multiplicity 1)
K2 0.3333 0.6667 0.5000 (multiplicity 1)
Mg1 0.0130 0.2875 0.5000 (multiplicity 3)
Mg2 0.1510 0.7723 0.0000 (multiplicity 3)
Mg3 0.3753 0.2010 0.0000 (multiplicity 3)
Mg4 0.5527 0.4082 0.5000 (multiplicity 3)
Cd1 0.0249 0.4724 0.0000 (multiplicity 3)
Cd2 0.2435 0.2385 0.5000 (multiplicity 3)
Cd3 0.6667 0.3333 0.0000 (multiplicity 1)

---

First-principles (PBE) data for KMgCd2 after structural relaxation, as listed in the Alexandria database.

## Properties
For the density of states at the Fermi level, the calculation gives 1.31 states/eV/f.u.

Cell lengths 7.871, 8.660, 3.337 Å; angles 90.00, 90.58, 90.00 degrees
Space group C2/m (No. 12)
One atom of each set of equivalent atoms:
K1 0.000 0.000 0.000 (multiplicity 2)
Mg1 0.000 0.500 0.000 (multiplicity 2)
Cd1 0.250 0.250 0.500 (multiplicity 4)

---

First-principles (PBE) data for KMgCd2 after structural relaxation, as listed in the Alexandria database.

## Properties
For the density of states at the Fermi level, the calculation gives 1.24 states/eV/f.u.

Cell lengths 3.275, 3.995, 8.674 Å; angles 90.00, 90.00, 90.00 degrees
Space group Pmmm (No. 47)
One atom of each set of equivalent atoms:
K1 0.000 0.000 0.000 (multiplicity 1)
Mg1 0.000 0.000 0.500 (multiplicity 1)
Cd1 0.500 0.500 0.307 (multiplicity 2)

---

| no. | uncorrected energy (eV per cell) |
| --- | --- |
| 1 | -32.2 |
| 2 | -8.6 |
| 3 | -57.1 |
| 4 | -13.0 |
| 5 | -5.4 |
| 6 | -15.6 |
| 7 | -13.0 |
| 8 | -29.7 |
| 9 | -63.5 |
| 10 | -63.9 |
| 11 | -10.4 |
| 12 | -24.5 |
| 13 | -22.2 |
| 14 | -57.7 |
| 15 | -8.8 |
| 16 | -7.2 |
| 17 | -25.7 |
| 18 | -11.6 |
| 19 | -8.6 |
| 20 | -48.6 |
| 21 | -37.5 |
| 22 | -28.6 |
| 23 | -8.3 |
| 24 | -4.7 |